a.
# PBE SrCaH, relaxed
# Magnetic moment: 0.5 μB/f.u.
data_SrCaH
_cell_length_a 3.9198
_cell_length_b 3.9198
_cell_length_c 6.3753
_cell_angle_alpha 90.00
_cell_angle_beta 90.00
_cell_angle_gamma 120.00
_symmetry_space_group_name_H-M 'P 3 m 1'
_symmetry_Int_Tables_number 156
loop_
_symmetry_equiv_pos_as_xyz
'x,y,z'
'-y,x-y,z'
'-x+y,-x,z'
'-y,-x,z'
'-x+y,y,z'
'x,x-y,z'
loop_
_atom_site_label
_atom_site_type_symbol
_atom_site_fract_x
_atom_site_fract_y
_atom_site_fract_z
_atom_site_occupancy
Sr1 Sr 0.0000 0.0000 0.0000 1
Ca1 Ca 0.3333 0.6667 0.4744 1
H1 H 0.6667 0.3333 0.2461 1


b.
# PBE SrCaH, relaxed
# Magnetic moment: 0.6 μB/f.u.
data_SrCaH
_cell_length_a 3.6749
_cell_length_b 3.6749
_cell_length_c 13.6324
_cell_angle_alpha 90.00
_cell_angle_beta 90.00
_cell_angle_gamma 90.00
_symmetry_space_group_name_H-M 'I 4 m m'
_symmetry_Int_Tables_number 107
_symmetry_space_group_name_Hall 'I 4 -2'
loop_
_atom_site_label
_atom_site_type_symbol
_atom_site_fract_x
_atom_site_fract_y
_atom_site_fract_z
_atom_site_occupancy
Sr1 Sr 0.0000 0.0000 0.0000 1
Ca1 Ca 0.0000 0.0000 0.2842 1
H1 H 0.0000 0.0000 0.4641 1


The data favor a; the next most stable structure lies 0.062 eV/atom above it.


a.
# PBE SrCaY2H, relaxed
# Magnetic moment: 0.8 μB/f.u.
data_SrCaY2H
_cell_length_a 5.0965
_cell_length_b 5.0965
_cell_length_c 5.6192
_cell_angle_alpha 90.00
_cell_angle_beta 90.00
_cell_angle_gamma 90.00
_symmetry_space_group_name_H-M 'P 4/m m m'
_symmetry_Int_Tables_number 123
_symmetry_space_group_name_Hall '-P 4 2'
loop_
_atom_site_label
_atom_site_type_symbol
_atom_site_fract_x
_atom_site_fract_y
_atom_site_fract_z
_atom_site_occupancy
Sr1 Sr 0.0000 0.0000 0.0000 1
Ca1 Ca 0.5000 0.5000 0.0000 1
Y1 Y 0.0000 0.5000 0.5000 1
H1 H 0.5000 0.5000 0.5000 1


b.
# PBE SrCaY2H, relaxed
# Magnetic moment: 1.1 μB/f.u.
data_SrCaY2H
_cell_length_a 5.0985
_cell_length_b 5.0985
_cell_length_c 5.6674
_cell_angle_alpha 90.00
_cell_angle_beta 90.00
_cell_angle_gamma 90.00
_symmetry_space_group_name_H-M 'P 4/m m m'
_symmetry_Int_Tables_number 123
_symmetry_space_group_name_Hall '-P 4 2'
loop_
_atom_site_label
_atom_site_type_symbol
_atom_site_fract_x
_atom_site_fract_y
_atom_site_fract_z
_atom_site_occupancy
Sr1 Sr 0.0000 0.0000 0.0000 1
Ca1 Ca 0.5000 0.5000 0.0000 1
Y1 Y 0.0000 0.5000 0.5000 1
H1 H 0.0000 0.0000 0.5000 1


The data favor b; the next most stable structure lies 0.014 eV/atom above it.


a.
# PBE SrCa2ZnH, relaxed
# Magnetic moment: 0.0 μB/f.u.
data_SrCa2ZnH
_cell_length_a 4.4095
_cell_length_b 13.7480
_cell_length_c 9.5672
_cell_angle_alpha 90.00
_cell_angle_beta 90.00
_cell_angle_gamma 90.00
_symmetry_space_group_name_H-M 'C m c m'
_symmetry_Int_Tables_number 63
_symmetry_space_group_name_Hall '-C 2c 2'
loop_
_atom_site_label
_atom_site_type_symbol
_atom_site_fract_x
_atom_site_fract_y
_atom_site_fract_z
_atom_site_occupancy
Sr1 Sr 0.0000 0.0540 0.2500 1
Ca1 Ca 0.0000 0.3440 0.0583 1
Zn1 Zn 0.0000 0.2472 0.7500 1
H1 H 0.0000 0.5000 0.0000 1


b.
# PBE SrCa2ZnH, relaxed
# Magnetic moment: 0.0 μB/f.u.
data_SrCa2ZnH
_cell_length_a 5.0017
_cell_length_b 5.0017
_cell_length_c 5.2906
_cell_angle_alpha 90.00
_cell_angle_beta 90.00
_cell_angle_gamma 90.00
_symmetry_space_group_name_H-M 'P 4/m m m'
_symmetry_Int_Tables_number 123
_symmetry_space_group_name_Hall '-P 4 2'
loop_
_atom_site_label
_atom_site_type_symbol
_atom_site_fract_x
_atom_site_fract_y
_atom_site_fract_z
_atom_site_occupancy
Sr1 Sr 0.0000 0.0000 0.0000 1
Ca1 Ca 0.0000 0.5000 0.5000 1
Zn1 Zn 0.5000 0.5000 0.0000 1
H1 H 0.0000 0.0000 0.5000 1


The data favor a; the next most stable structure lies 0.022 eV/atom above it.


a.
# PBE Ca3TaH, relaxed
# Magnetic moment: 0.0 μB/f.u.
data_Ca3TaH
_cell_length_a 5.6844
_cell_length_b 5.6844
_cell_length_c 5.6844
_cell_angle_alpha 90.00
_cell_angle_beta 90.00
_cell_angle_gamma 90.00
_symmetry_space_group_name_H-M 'P m -3 m'
_symmetry_Int_Tables_number 221
_symmetry_space_group_name_Hall '-P 4 2 3'
loop_
_atom_site_label
_atom_site_type_symbol
_atom_site_fract_x
_atom_site_fract_y
_atom_site_fract_z
_atom_site_occupancy
Ca1 Ca 0.0000 0.0000 0.5000 1
Ta1 Ta 0.0000 0.0000 0.0000 1
H1 H 0.5000 0.5000 0.5000 1


b.
# PBE Ca3TaH, relaxed
# Magnetic moment: 3.3 μB/f.u.
data_Ca3TaH
_cell_length_a 4.9541
_cell_length_b 4.9541
_cell_length_c 4.9541
_cell_angle_alpha 90.00
_cell_angle_beta 90.00
_cell_angle_gamma 90.00
_symmetry_space_group_name_H-M 'P m -3 m'
_symmetry_Int_Tables_number 221
_symmetry_space_group_name_Hall '-P 4 2 3'
loop_
_atom_site_label
_atom_site_type_symbol
_atom_site_fract_x
_atom_site_fract_y
_atom_site_fract_z
_atom_site_occupancy
Ca1 Ca 0.0000 0.0000 0.5000 1
Ta1 Ta 0.5000 0.5000 0.5000 1
H1 H 0.0000 0.0000 0.0000 1


The data favor b; the next most stable structure lies 0.981 eV/atom above it.